Entry 1:
Density functional theory data (PBE) for an optimized crystal structure of Cs4Hg2S.

Geometry as POSCAR:
```
Cs4Hg2S
1.0
-3.329 3.329 10.664
3.329 -3.329 10.664
3.329 3.329 -10.664
Cs Hg S
4 2 1
Direct
0.000 0.500 0.500
0.188 0.188 0.000
0.500 0.000 0.500
0.812 0.812 0.000
0.367 0.367 0.000
0.633 0.633 0.000
0.500 0.500 0.000
```

Results
For the density of states at the Fermi level, the calculation gives 7.11 states/eV/cell. The uncorrected formation energy comes out at -365 meV per atom. The calculation puts the total energy at -0.11232 Ry/atom. The value obtained for the calculated volume is 473 Å³ per cell. The space group is I4/mmm.

Entry 2:
Density functional theory data (PBE) for an optimized crystal structure of CsHg2Sb2S6.

Geometry as POSCAR:
```
CsHg2Sb2S6
1.0
6.899 0.000 0.000
-0.860 7.244 0.000
-0.061 -3.486 7.855
Cs Hg Sb S
1 2 2 6
Direct
0.000 0.000 0.000
0.486 0.732 0.288
0.514 0.268 0.712
0.023 0.290 0.565
0.977 0.710 0.435
0.203 0.455 0.366
0.235 0.436 0.830
0.240 0.960 0.356
0.760 0.040 0.644
0.765 0.564 0.170
0.797 0.545 0.634
```

Results
For the density of states at the Fermi level, the calculation gives 5.07 states/eV/cell. The uncorrected formation energy comes out at -293 meV per atom. The calculation puts the total energy at -0.25183 Ry/atom. The value obtained for the calculated volume is 393 Å³ per cell. The space group is P-1.

Entry 3:
Density functional theory data (PBE) for an optimized crystal structure of Cs2HgSbS4.

Geometry as POSCAR:
```
Cs2HgSbS4
1.0
-3.945 3.945 4.580
3.945 -3.945 4.580
3.945 3.945 -4.580
Cs Hg Sb S
2 1 1 4
Direct
0.000 0.000 0.000
0.750 0.250 0.500
0.250 0.750 0.500
0.500 0.500 0.000
0.218 0.592 0.087
0.408 0.495 0.625
0.505 0.130 0.913
0.870 0.782 0.375
```

Results
For the density of states at the Fermi level, the calculation gives 5.18 states/eV/cell. The uncorrected formation energy comes out at -580 meV per atom. The calculation puts the total energy at -0.25067 Ry/atom. The value obtained for the calculated volume is 285 Å³ per cell. The space group is I-4.

Entry 4:
Density functional theory data (PBE) for an optimized crystal structure of Cs2HgSeS.

Geometry as POSCAR:
```
Cs2HgSeS
1.0
6.836 0.000 0.000
0.000 6.836 0.000
0.000 0.000 5.001
Cs Hg Se S
2 1 1 1
Direct
0.000 0.500 0.000
0.500 0.000 0.000
0.000 0.000 0.500
0.500 0.500 0.500
0.000 0.000 0.000
```

Results
For the density of states at the Fermi level, the calculation gives 7.04 states/eV/cell. The uncorrected formation energy comes out at -555 meV per atom. The calculation puts the total energy at -0.18218 Ry/atom. The value obtained for the calculated volume is 234 Å³ per cell. The space group is P4/mmm.

Entry 5:
Density functional theory data (PBE) for an optimized crystal structure of Cs2Hg2Se2S.

Geometry as POSCAR:
```
Cs2Hg2Se2S
1.0
7.683 -2.237 0.000
7.683 2.237 0.000
-5.901 0.000 7.721
Cs Hg Se S
2 2 2 1
Direct
0.021 0.021 0.289
0.979 0.979 0.711
0.294 0.294 0.825
0.706 0.706 0.175
0.318 0.318 0.291
0.682 0.682 0.709
0.500 0.500 0.000
```

Results
The uncorrected formation energy comes out at -648 meV per atom. The calculation puts the total energy at -0.18838 Ry/atom. The value obtained for the calculated volume is 265 Å³ per cell. The space group is C2/m.

Entry 6:
Density functional theory data (PBE) for an optimized crystal structure of CsSiHgS3.

Geometry as POSCAR:
```
CsSiHgS3
1.0
6.796 -3.750 0.000
6.796 3.750 0.000
-2.350 0.000 7.584
Cs Si Hg S
2 2 2 6
Direct
0.188 0.188 0.216
0.812 0.812 0.784
0.493 0.493 0.847
0.507 0.507 0.153
0.262 0.738 0.500
0.738 0.262 0.500
0.183 0.661 0.187
0.339 0.817 0.813
0.346 0.346 0.667
0.654 0.654 0.333
0.661 0.183 0.187
0.817 0.339 0.813
```

Results
For the density of states at the Fermi level, the calculation gives 0.00 states/eV/cell. The uncorrected formation energy comes out at -703 meV per atom. The calculation puts the total energy at -0.28393 Ry/atom. The value obtained for the calculated volume is 387 Å³ per cell. The space group is C2/m.

Entry 7:
Density functional theory data (PBE) for an optimized crystal structure of Cs2SiHgS4.

Geometry as POSCAR:
```
Cs2SiHgS4
1.0
0.000 6.980 12.397
3.170 0.000 12.397
3.170 6.980 0.000
Cs Si Hg S
4 2 2 8
Direct
0.053 0.053 0.697
0.303 0.303 0.947
0.697 0.697 0.053
0.947 0.947 0.303
0.375 0.375 0.375
0.625 0.625 0.625
0.125 0.125 0.125
0.875 0.875 0.875
0.036 0.615 0.534
0.315 0.534 0.615
0.385 0.964 0.685
0.466 0.685 0.964
0.534 0.315 0.036
0.615 0.036 0.315
0.685 0.466 0.385
0.964 0.385 0.466
```

Results
For the density of states at the Fermi level, the calculation gives 0.00 states/eV/cell. The uncorrected formation energy comes out at -864 meV per atom. The calculation puts the total energy at -0.28349 Ry/atom. The value obtained for the calculated volume is 549 Å³ per cell. The space group is Fddd.

Entry 8:
Density functional theory data (PBE) for an optimized crystal structure of CsSiHgS4.

Geometry as POSCAR:
```
CsSiHgS4
1.0
6.427 0.000 0.000
0.000 6.890 0.000
-2.714 0.000 9.173
Cs Si Hg S
2 2 2 8
Direct
0.240 0.250 0.091
0.760 0.750 0.909
0.381 0.250 0.702
0.619 0.750 0.298
0.146 0.750 0.461
0.854 0.250 0.539
0.153 0.013 0.694
0.153 0.487 0.694
0.359 0.750 0.114
0.454 0.250 0.496
0.546 0.750 0.504
0.641 0.250 0.886
0.847 0.513 0.306
0.847 0.987 0.306
```

Results
For the density of states at the Fermi level, the calculation gives 10.56 states/eV/cell. The uncorrected formation energy comes out at -542 meV per atom. The calculation puts the total energy at -0.28225 Ry/atom. The value obtained for the calculated volume is 406 Å³ per cell. The space group is P2_1/m.

Entry 9:
Density functional theory data (PBE) for an optimized crystal structure of CsSm2HgS4.

Geometry as POSCAR:
```
CsSm2HgS4
1.0
2.113 -7.150 0.000
2.113 7.150 0.000
0.000 0.000 14.833
Cs Sm Hg S
2 4 2 8
Direct
0.117 0.883 0.750
0.883 0.117 0.250
0.375 0.625 0.555
0.375 0.625 0.945
0.625 0.375 0.055
0.625 0.375 0.445
0.168 0.832 0.250
0.832 0.168 0.750
0.000 0.000 0.000
0.000 0.000 0.500
0.256 0.744 0.096
0.256 0.744 0.404
0.435 0.565 0.750
0.565 0.435 0.250
0.744 0.256 0.596
0.744 0.256 0.904
```

Results
For the density of states at the Fermi level, the calculation gives 7.25 states/eV/cell. The uncorrected formation energy comes out at -1375 meV per atom. The calculation puts the total energy at -0.35009 Ry/atom. The value obtained for the calculated volume is 448 Å³ per cell. The space group is Cmcm.

Entry 10:
Density functional theory data (PBE) for an optimized crystal structure of CsSnHg2S4.

Geometry as POSCAR:
```
CsSnHg2S4
1.0
-3.468 3.922 4.585
3.468 -3.922 4.585
3.468 3.922 -4.585
Cs Sn Hg S
1 1 2 4
Direct
0.000 0.000 0.000
0.500 0.500 0.000
0.292 0.792 0.500
0.708 0.208 0.500
0.163 0.543 0.022
0.478 0.457 0.620
0.522 0.141 0.978
0.837 0.859 0.380
```

Results
For the density of states at the Fermi level, the calculation gives 3.21 states/eV/cell. The uncorrected formation energy comes out at -416 meV per atom. The calculation puts the total energy at -0.23245 Ry/atom. The value obtained for the calculated volume is 249 Å³ per cell. The space group is I222.

Entry 11:
Density functional theory data (PBE) for an optimized crystal structure of CsSnHgS3.

Geometry as POSCAR:
```
CsSnHgS3
1.0
5.987 -4.305 0.000
5.987 4.305 0.000
-4.348 0.000 7.781
Cs Sn Hg S
2 2 2 6
Direct
0.188 0.188 0.189
0.812 0.812 0.811
0.443 0.443 0.814
0.557 0.557 0.186
0.230 0.770 0.500
0.770 0.230 0.500
0.209 0.679 0.204
0.224 0.224 0.604
0.321 0.791 0.796
0.679 0.209 0.204
0.776 0.776 0.396
0.791 0.321 0.796
```

Results
The uncorrected formation energy comes out at -547 meV per atom. The calculation puts the total energy at -0.25508 Ry/atom. The value obtained for the calculated volume is 401 Å³ per cell. The space group is C2/m.

Entry 12:
Density functional theory data (PBE) for an optimized crystal structure of CsSn2HgS6.

Geometry as POSCAR:
```
CsSn2HgS6
1.0
7.069 -7.408 0.000
7.069 7.408 0.000
-1.237 0.000 6.497
Cs Sn Hg S
2 4 2 12
Direct
0.124 0.876 0.750
0.876 0.124 0.250
0.219 0.364 0.850
0.364 0.219 0.350
0.636 0.781 0.650
0.781 0.636 0.150
0.312 0.688 0.250
0.688 0.312 0.750
0.033 0.213 0.793
0.145 0.577 0.996
0.213 0.033 0.293
0.302 0.423 0.539
0.423 0.302 0.039
0.423 0.855 0.504
0.577 0.145 0.496
0.577 0.698 0.961
0.698 0.577 0.461
0.787 0.967 0.707
0.855 0.423 0.004
0.967 0.787 0.207
```

Results
For the density of states at the Fermi level, the calculation gives 7.67 states/eV/cell. The uncorrected formation energy comes out at -338 meV per atom. The calculation puts the total energy at -0.27421 Ry/atom. The value obtained for the calculated volume is 680 Å³ per cell. The space group is C2/c.

Entry 13:
Density functional theory data (PBE) for an optimized crystal structure of CsSnHgS2.

Geometry as POSCAR:
```
CsSnHgS2
1.0
5.475 0.000 0.000
0.000 5.475 0.000
0.000 0.000 5.384
Cs Sn Hg S
1 1 1 2
Direct
0.000 0.000 0.000
0.500 0.500 0.000
0.500 0.500 0.500
0.000 0.500 0.500
0.500 0.000 0.500
```

Results
For the density of states at the Fermi level, the calculation gives 3.36 states/eV/cell. The uncorrected formation energy comes out at 126 meV per atom. The calculation puts the total energy at -0.18789 Ry/atom. The value obtained for the calculated volume is 161 Å³ per cell. The space group is P4/mmm.

Entry 14:
Density functional theory data (PBE) for an optimized crystal structure of CsSnHg2S.

Geometry as POSCAR:
```
CsSnHg2S
1.0
5.743 0.000 0.000
0.000 5.743 0.000
0.000 0.000 5.441
Cs Sn Hg S
1 1 2 1
Direct
0.000 0.000 0.000
0.500 0.500 0.500
0.000 0.500 0.500
0.500 0.000 0.500
0.500 0.500 0.000
```

Results
For the density of states at the Fermi level, the calculation gives 2.15 states/eV/cell. The uncorrected formation energy comes out at -294 meV per atom. The calculation puts the total energy at -0.16254 Ry/atom. The value obtained for the calculated volume is 179 Å³ per cell. The space group is P4/mmm.

Entry 15:
Density functional theory data (PBE) for an optimized crystal structure of CsSrHgS2.

Geometry as POSCAR:
```
CsSrHgS2
1.0
8.127 0.000 0.000
0.000 5.881 0.000
-1.605 0.000 8.104
Cs Sr Hg S
2 2 2 4
Direct
0.000 0.188 0.250
0.000 0.812 0.750
0.500 0.488 0.750
0.500 0.512 0.250
0.500 0.000 0.000
0.500 0.000 0.500
0.272 0.328 0.961
0.272 0.672 0.461
0.728 0.328 0.539
0.728 0.672 0.039
```

Results
For the density of states at the Fermi level, the calculation gives 7.82 states/eV/cell. The uncorrected formation energy comes out at -969 meV per atom. The calculation puts the total energy at -0.23427 Ry/atom. The value obtained for the calculated volume is 387 Å³ per cell. The space group is P2/c.

Entry 16:
Density functional theory data (PBE) for an optimized crystal structure of CsTaHgS4.

Geometry as POSCAR:
```
CsTaHgS4
1.0
6.116 0.000 0.000
0.000 7.785 0.000
-2.997 0.000 9.718
Cs Ta Hg S
2 2 2 8
Direct
0.163 0.250 0.373
0.837 0.750 0.627
0.361 0.750 0.213
0.639 0.250 0.787
0.176 0.250 0.842
0.824 0.750 0.158
0.070 0.750 0.006
0.219 0.750 0.397
0.420 0.008 0.779
0.420 0.492 0.779
0.580 0.508 0.221
0.580 0.992 0.221
0.781 0.250 0.603
0.930 0.250 0.994
```

Results
For the density of states at the Fermi level, the calculation gives 0.00 states/eV/cell. The uncorrected formation energy comes out at -820 meV per atom. The calculation puts the total energy at -0.37023 Ry/atom. The value obtained for the calculated volume is 463 Å³ per cell. The space group is P2_1/m.

Entry 17:
Density functional theory data (PBE) for an optimized crystal structure of Cs2HgTeS.

Geometry as POSCAR:
```
Cs2HgTeS
1.0
6.913 0.000 0.000
0.000 6.913 0.000
0.000 0.000 5.001
Cs Hg Te S
2 1 1 1
Direct
0.000 0.500 0.000
0.500 0.000 0.000
0.000 0.000 0.500
0.500 0.500 0.500
0.000 0.000 0.000
```

Results
For the density of states at the Fermi level, the calculation gives 6.68 states/eV/cell. The uncorrected formation energy comes out at -585 meV per atom. The calculation puts the total energy at -0.17940 Ry/atom. The value obtained for the calculated volume is 239 Å³ per cell. The space group is P4/mmm.

Entry 18:
Density functional theory data (PBE) for an optimized crystal structure of CsHgTeS.

Geometry as POSCAR:
```
CsHgTeS
1.0
7.047 -2.377 0.000
7.047 2.377 0.000
-0.529 0.000 4.554
Cs Hg Te S
1 1 1 1
Direct
0.000 0.000 0.000
0.730 0.730 0.085
0.256 0.256 0.584
0.418 0.418 0.474
```

Results
For the density of states at the Fermi level, the calculation gives 1.36 states/eV/cell. The uncorrected formation energy comes out at -391 meV per atom. The calculation puts the total energy at -0.18353 Ry/atom. The value obtained for the calculated volume is 153 Å³ per cell. The space group is Cm.

Entry 19:
Density functional theory data (PBE) for an optimized crystal structure of Cs2HgTeS.

Geometry as POSCAR:
```
Cs2HgTeS
1.0
8.746 0.000 0.000
0.000 4.756 0.000
-3.674 0.000 10.892
Cs Hg Te S
4 2 2 2
Direct
0.183 0.250 0.390
0.214 0.250 0.964
0.786 0.750 0.036
0.817 0.750 0.610
0.489 0.750 0.255
0.511 0.250 0.745
0.316 0.750 0.699
0.684 0.250 0.301
0.194 0.750 0.178
0.806 0.250 0.822
```

Results
The uncorrected formation energy comes out at -822 meV per atom. The calculation puts the total energy at -0.19679 Ry/atom. The value obtained for the calculated volume is 453 Å³ per cell. The space group is P2_1/m.

Entry 20:
Density functional theory data (PBE) for an optimized crystal structure of CsTiHg2S4.

Geometry as POSCAR:
```
CsTiHg2S4
1.0
0.000 5.010 4.566
5.009 0.000 4.566
5.009 5.010 0.000
Cs Ti Hg S
1 1 2 4
Direct
0.000 0.000 0.000
0.500 0.500 0.500
0.252 0.252 0.248
0.752 0.752 0.748
0.167 0.538 0.833
0.461 0.832 0.168
0.538 0.167 0.462
0.832 0.461 0.539
```

Results
For the density of states at the Fermi level, the calculation gives 3.65 states/eV/cell. The uncorrected formation energy comes out at -681 meV per atom. The calculation puts the total energy at -0.28767 Ry/atom. The value obtained for the calculated volume is 229 Å³ per cell. The space group is Fmm2.